Rb3CBr6: optimized geometry, GGA-PBE.

Total magnetic moment = 0.001 μB per atom
Calculated total energy = -2.693 eV/atom
E_form (uncorrected) = -0.48 eV per atom

```
data_Rb3CBr6
_symmetry_space_group_name_H-M 'P 1'
_symmetry_Int_Tables_number 1
_symmetry_space_group_name_Hall 'P 1'
_cell_length_a 7.977
_cell_length_b 7.977
_cell_length_c 7.977
_cell_angle_alpha 60.00
_cell_angle_beta 60.00
_cell_angle_gamma 90.00
loop_
_atom_site_label
_atom_site_fract_x
_atom_site_fract_y
_atom_site_fract_z
_atom_site_occupancy
Rb1 0.750 0.250 0.500 1
Rb2 0.000 0.000 0.000 1
Rb3 0.250 0.750 0.500 1
Br1 0.714 0.714 0.000 1
Br2 0.286 0.286 0.000 1
Br3 0.714 0.286 0.000 1
Br4 0.286 0.286 0.427 1
Br5 0.714 0.714 0.573 1
Br6 0.286 0.714 0.000 1
C1 0.500 0.500 0.000 1
```


MgPa2Ni4Ge3: optimized geometry, GGA-PBE.

Total magnetic moment = 0.000 μB per atom
Calculated total energy = -6.270 eV/atom
Energy relative to the elements = -0.51 eV/atom

```
data_MgPa2Ni4Ge3
_symmetry_space_group_name_H-M 'P 1'
_symmetry_Int_Tables_number 1
_symmetry_space_group_name_Hall 'P 1'
_cell_length_a 4.024
_cell_length_b 4.024
_cell_length_c 10.133
_cell_angle_alpha 90.00
_cell_angle_beta 90.00
_cell_angle_gamma 90.00
loop_
_atom_site_label
_atom_site_fract_x
_atom_site_fract_y
_atom_site_fract_z
_atom_site_occupancy
Ni1 0.000 0.000 0.000 1
Ni2 0.500 0.500 0.000 1
Ni3 0.000 0.500 0.352 1
Ni4 0.500 0.000 0.648 1
Mg1 0.500 0.500 0.500 1
Ge1 0.500 0.000 0.875 1
Ge2 0.000 0.500 0.125 1
Ge3 0.000 0.000 0.500 1
Pa1 0.000 0.500 0.763 1
Pa2 0.500 0.000 0.237 1
```